Record 1
A geometry-optimized CeNdTh2Bi5 structure, computed with GGA-PBE.

Properties
SG: P4/mmm (123)
Formation enthalpy at 0 K in meV/atom: 157

```
9
Lattice="-4.525 -3.025 -1.117 2.091 -1.287 -4.985 5.274 -9.622 4.696" Properties=species:S:1:pos:R:3 pbc="T T T"
Th 0.432 -5.166 -1.582
Th 2.407 -8.769 0.177
Bi 3.968 -7.239 3.533
Bi -1.217 -2.156 -3.051
Bi 0.374 -6.324 1.790
Bi 3.682 -5.455 -0.144
Bi 1.306 -2.383 1.163
Ce 0.000 0.000 0.000
Nd 2.637 -4.811 2.348
```


Record 2
A geometry-optimized CeNd2ThBi4 structure, computed with GGA-PBE.

Properties
SG: P2/m (10)
Formation enthalpy at 0 K in meV/atom: -831

```
8
Lattice="-4.202 -1.314 1.351 -0.516 -4.841 -6.313 3.213 -3.969 6.135" Properties=species:S:1:pos:R:3 pbc="T T T"
Ce 0.000 0.000 0.000
Bi -1.431 -2.852 0.624
Bi -0.074 -7.272 0.548
Bi 2.284 -4.192 3.028
Bi 0.413 -4.618 -3.207
Nd -0.495 -2.641 3.743
Nd 1.348 -4.405 -0.089
Th -2.359 -3.077 -2.481
```


Record 3
A geometry-optimized Ce2NdThBi5 structure, computed with GGA-PBE.

Properties
SG: P4/mmm (123)
Formation enthalpy at 0 K in meV/atom: 50

```
9
Lattice="-1.153 0.716 5.585 1.034 -5.577 0.928 11.634 2.504 2.082" Properties=species:S:1:pos:R:3 pbc="T T T"
Th 5.817 1.252 1.041
Ce 8.308 -0.629 4.754
Ce 3.207 -1.727 3.841
Bi 6.334 -1.536 1.505
Bi 8.774 1.889 1.570
Bi 2.860 0.616 0.512
Bi 5.240 1.610 3.833
Bi -0.060 -2.430 3.257
Nd 0.000 0.000 0.000
```


Record 4
A geometry-optimized Ce2NdThBi4 structure, computed with GGA-PBE.

Properties
SG: P2/m (10)
Formation enthalpy at 0 K in meV/atom: -791

```
8
Lattice="-4.016 -2.079 0.807 1.667 -0.182 7.831 -2.742 6.627 3.428" Properties=species:S:1:pos:R:3 pbc="T T T"
Th -0.537 3.223 5.630
Nd -1.175 -1.130 4.319
Bi -4.289 -0.460 3.620
Bi -0.802 4.826 8.447
Bi -1.443 0.482 7.137
Bi -3.647 3.884 4.930
Ce -2.742 6.627 3.429
Ce -3.379 2.274 2.118
```


Record 5
A geometry-optimized Ce3NdTh2Bi6 structure, computed with GGA-PBE.

Properties
SG: C2/m (12)
Formation enthalpy at 0 K in meV/atom: -760

```
12
Lattice="7.953 -0.002 0.001 -3.976 6.887 0.001 -1.326 -2.296 7.559" Properties=species:S:1:pos:R:3 pbc="T T T"
Bi 3.979 2.288 5.668
Bi -1.328 2.301 1.892
Bi 2.647 4.584 1.894
Bi 2.657 0.000 1.892
Bi 0.003 0.005 5.667
Bi -0.007 4.590 5.668
Th 3.978 2.294 0.001
Th -0.001 4.592 0.001
Ce 5.307 -0.005 3.780
Ce 1.325 2.295 3.780
Ce -2.656 4.594 3.780
Nd 0.000 0.000 0.000
```


Record 6
A geometry-optimized CeNd2ThBi5 structure, computed with GGA-PBE.

Properties
SG: P4/mmm (123)
Formation enthalpy at 0 K in meV/atom: 42

```
9
Lattice="5.733 0.000 0.000 0.000 5.733 0.000 0.000 0.000 12.089" Properties=species:S:1:pos:R:3 pbc="T T T"
Bi 2.867 0.000 6.045
Bi 0.000 0.000 9.131
Bi 2.867 2.867 0.000
Bi 0.000 2.867 6.045
Bi 0.000 0.000 2.958
Nd 2.867 2.867 3.345
Nd 2.867 2.867 8.744
Th 0.000 0.000 6.045
Ce 0.000 0.000 0.000
```